CeCdIrRh (PBE-GGA, relaxed); energy relative to the elements = -0.4331 eV per atom; calculated density = 11.9 g/cm³; DFT total energy = -6.20 eV/atom; calculated volume = 76.1 Å³/f.u.
1.0
6.727 0.000 0.000
0.000 6.727 0.000
0.000 0.000 6.727
Ce Cd Ir Rh
4 4 4 4
Direct
0.000 0.000 0.000
0.000 0.500 0.500
0.500 0.000 0.500
0.500 0.500 0.000
0.000 0.000 0.500
0.000 0.500 0.000
0.500 0.000 0.000
0.500 0.500 0.500
0.250 0.250 0.750
0.250 0.750 0.250
0.750 0.250 0.250
0.750 0.750 0.750
0.250 0.250 0.250
0.250 0.750 0.750
0.750 0.250 0.750
0.750 0.750 0.250